## SmUTe (PBE-GGA)

Data for a relaxed structure of SmUTe.

Cell lengths 4.213, 4.213, 9.470 Å; angles 102.85, 102.85, 90.00 degrees
Last column: magnetic moment on the atom in μB.
Sites, in units of the cell vectors:
Sm 0.183 0.183 0.366  0.02
Sm 0.817 0.817 0.634  0.02
U 0.000 0.500 0.000  2.22
U 0.500 0.000 0.000  2.22
Te 0.637 0.637 0.273  -0.02
Te 0.363 0.363 0.727  -0.02

The uncorrected formation energy comes out at -631 meV per atom.

## Sm2U2Te7 (PBE-GGA)

Data for a relaxed structure of Sm2U2Te7.

Cell lengths 4.305, 9.662, 9.662 Å; angles 60.65, 77.13, 77.13 degrees
Last column: magnetic moment on the atom in μB.
Sites, in units of the cell vectors:
Sm 0.740 0.855 0.665  -0.01
Sm 0.260 0.335 0.145  -0.01
U 0.000 0.774 0.226  2.19
U 0.500 0.325 0.675  2.26
Te 0.822 0.069 0.288  -0.06
Te 0.864 0.420 0.852  -0.07
Te 0.500 0.010 0.990  -0.12
Te 0.607 0.496 0.290  -0.06
Te 0.393 0.710 0.504  -0.06
Te 0.178 0.712 0.931  -0.06
Te 0.136 0.148 0.580  -0.07

The uncorrected formation energy comes out at -963 meV per atom.

## SmUTe4 (PBE-GGA)

Data for a relaxed structure of SmUTe4.

Cell lengths 7.544, 7.575, 7.563 Å; angles 90.00, 87.31, 90.00 degrees
Last column: magnetic moment on the atom in μB.
Sites, in units of the cell vectors:
Sm 0.500 0.000 0.500  -0.03
Sm 0.000 0.500 0.500  -0.03
U 0.000 0.000 0.000  1.58
U 0.500 0.500 0.000  1.58
Te 0.830 0.662 0.150  -0.09
Te 0.670 0.162 0.850  -0.09
Te 0.365 0.354 0.343  -0.08
Te 0.135 0.854 0.657  -0.08
Te 0.170 0.338 0.850  -0.09
Te 0.330 0.838 0.150  -0.09
Te 0.635 0.646 0.657  -0.08
Te 0.865 0.146 0.343  -0.08

The uncorrected formation energy comes out at -713 meV per atom.

## SmVTe (PBE-GGA)

Data for a relaxed structure of SmVTe.

Cell lengths 4.109, 8.439, 7.846 Å; angles 92.10, 90.00, 90.00 degrees
Sites, in units of the cell vectors:
Te 0.250 0.636 0.772
Te 0.750 0.864 0.228
Te 0.750 0.364 0.228
Te 0.250 0.136 0.772
V 0.250 0.899 0.999
V 0.750 0.601 0.001
V 0.750 0.101 0.001
V 0.250 0.399 0.999
Sm 0.250 0.621 0.348
Sm 0.750 0.879 0.652
Sm 0.750 0.379 0.652
Sm 0.250 0.121 0.348

The uncorrected formation energy comes out at -516 meV per atom.